No. 1
DFT (PBE) results for a relaxed structure of Rb2BiClF6.

Values from the calculation:
- ΔE to the lowest computed polymorph (eV/atom) = 0.000

Cell lengths 6.118, 6.509, 7.357 Å; angles 65.45, 67.99, 73.39 degrees
Space group P1 (No. 1)
Inequivalent atoms, fractional coordinates:
Rb (0.000, 0.000, 0.000) [1 per cell]
Rb (0.440, 0.625, 0.564) [1 per cell]
Bi (0.221, 0.314, 0.274) [1 per cell]
Cl (0.643, 0.857, 0.814) [1 per cell]
F (0.060, 0.021, 0.402) [1 per cell]
F (0.193, 0.296, 0.578) [1 per cell]
F (0.221, 0.339, 0.977) [1 per cell]
F (0.409, 0.601, 0.104) [1 per cell]
F (0.546, 0.079, 0.265) [1 per cell]
F (0.889, 0.539, 0.298) [1 per cell]



No. 2
DFT (PBE) results for a relaxed structure of BiRhClF2.

Cell lengths 4.472, 4.472, 5.824 Å; angles 90.00, 90.00, 90.00 degrees
Space group P4/mmm (No. 123)
Inequivalent atoms, fractional coordinates:
Bi (0.000, 0.000, 0.000) [1 per cell]
Rh (0.500, 0.500, 0.500) [1 per cell]
Cl (0.000, 0.000, 0.500) [1 per cell]
F (0.000, 0.500, 0.000) [2 per cell]



Across the entries above, spin magnetization takes the values 0.03, 1.35 μB/f.u., respectively.
Across the entries above, formation energy without anion corrections takes the values -205.9, -60.8 kJ/mol of atoms, respectively.